[1]
This record from the Alexandria database describes a relaxed structure of AsRuRh. The functional is PBE-GGA.

Calculated values
Formation energy from the elements = -133.3 meV/atom
M_tot = 0.000 μB/atom
Space-group type = P3m1
DOS at the Fermi energy = 3.08 states/eV per cell
Distance to the lowest polymorph of the same formula = 57 meV/atom

Unit cell a=4.163 b=4.163 c=6.006 alpha=90.00 beta=90.00 gamma=120.00
Element x y z (fractional)
Ru 0.667 0.333 0.342
Ru 0.333 0.667 0.096
As 0.000 0.000 0.020
As 0.333 0.667 0.499
Rh 0.667 0.333 0.864
Rh 0.000 0.000 0.609


[2]
This record from the Alexandria database describes a relaxed structure of AsRuRh4. The functional is PBE-GGA.

Calculated values
Formation energy from the elements = 542.7 meV/atom
M_tot = 0.671 μB/atom
Space-group type = F-43m
DOS at the Fermi energy = 8.30 states/eV per cell

Unit cell a=5.129 b=5.129 c=5.129 alpha=60.00 beta=60.00 gamma=60.00
Each line ends with the local moment (μB).
Element x y z (fractional)
As 0.000 0.000 0.000  0.01
Rh 0.874 0.375 0.375  0.45
Rh 0.375 0.375 0.874  0.45
Rh 0.375 0.375 0.375  0.45
Rh 0.375 0.874 0.375  0.45
Ru 0.750 0.750 0.750  2.11


[3]
This record from the Alexandria database describes a relaxed structure of As2RuRh. The functional is PBE-GGA.

Calculated values
Formation energy from the elements = -169.3 meV/atom
M_tot = 0.000 μB/atom
Space-group type = Cm
DOS at the Fermi energy = 3.15 states/eV per cell
Distance to the lowest polymorph of the same formula = 99 meV/atom

Unit cell a=4.701 b=4.701 c=4.460 alpha=77.17 beta=77.17 gamma=39.76
Element x y z (fractional)
As 0.993 0.993 0.079
As 0.755 0.755 0.661
Rh 0.486 0.486 0.571
Ru 0.265 0.265 0.189


[4]
This record from the Alexandria database describes a relaxed structure of AsRuRh. The functional is PBE-GGA.

Calculated values
Formation energy from the elements = -29.8 meV/atom
M_tot = 0.000 μB/atom
Space-group type = P3m1
DOS at the Fermi energy = 4.14 states/eV per cell
Distance to the lowest polymorph of the same formula = 160 meV/atom

Unit cell a=4.153 b=4.153 c=2.966 alpha=90.00 beta=90.00 gamma=120.00
Element x y z (fractional)
Rh 0.667 0.333 0.261
As 0.000 0.000 0.978
Ru 0.333 0.667 0.761


[5]
This record from the Alexandria database describes a relaxed structure of AsRu2Rh. The functional is PBE-GGA.

Calculated values
Formation energy from the elements = 51.5 meV/atom
M_tot = 0.000 μB/atom
Space-group type = Cm
DOS at the Fermi energy = 3.36 states/eV per cell

Unit cell a=4.697 b=4.697 c=4.569 alpha=85.80 beta=85.80 gamma=35.24
Element x y z (fractional)
Ru 0.000 0.000 0.015
Ru 0.267 0.267 0.229
Rh 0.736 0.736 0.746
As 0.498 0.498 0.509


[6]
This record from the Alexandria database describes a relaxed structure of AsRu2Rh. The functional is PBE-GGA.

Calculated values
Formation energy from the elements = 158.6 meV/atom
M_tot = 0.183 μB/atom
Space-group type = P4/mmm
DOS at the Fermi energy = 6.95 states/eV per cell

Unit cell a=3.856 b=3.862 c=3.862 alpha=90.00 beta=90.00 gamma=90.00
Each line ends with the local moment (μB).
Element x y z (fractional)
As 0.500 0.500 0.000  0.00
Ru 0.000 0.000 0.000  0.31
Ru 0.000 0.500 0.500  0.31
Rh 0.500 0.000 0.500  0.06